A plane-wave DFT calculation with GGA-PBE was carried out for an optimized crystal structure of V2CrSi6.

Unit cell a=4.5111 b=4.5275 c=6.3448 alpha=90.00 beta=90.00 gamma=119.88
Last column: nearest neighbours and their distance in Å.
Fractional positions:
V1 0.0000 0.5000 0.6665  10 Si 2.49-2.63
V2 0.5000 0.5000 0.3335  10 Si 2.49-2.63
Cr1 0.5000 0.0000 0.0000  10 Si 2.48-2.63
Si1 0.8355 0.6709 0.0000  5 Si 2.47-2.62, 2 V 2.49, 3 Cr 2.60-2.63
Si2 0.3269 0.1620 0.6685  5 Si 2.47-2.65, 1 Cr 2.48, 4 V 2.51-2.63
Si3 0.8350 0.1620 0.3315  5 Si 2.47-2.65, 1 Cr 2.48, 4 V 2.51-2.63
Si4 0.1645 0.3291 0.0000  5 Si 2.47-2.62, 2 V 2.49, 3 Cr 2.60-2.63
Si5 0.6731 0.8380 0.6685  5 Si 2.47-2.65, 1 Cr 2.48, 4 V 2.51-2.63
Si6 0.1650 0.8380 0.3315  5 Si 2.47-2.65, 1 Cr 2.48, 4 V 2.51-2.63

Values from the calculation:
raw formation energy	-0.436	eV per atom
space-group type	C222
spin magnetization	0.0	μB/cell

***

A plane-wave DFT calculation with GGA-PBE was carried out for an optimized crystal structure of LaSiS2N.

Unit cell a=4.8517 b=4.8517 c=3.5370 alpha=90.00 beta=90.00 gamma=90.00
Last column: nearest neighbours and their distance in Å.
Fractional positions:
S1 0.0000 0.5000 0.0000  2 Si 2.43
S2 0.5000 0.0000 0.0000  2 Si 2.43
N1 0.0000 0.0000 0.5000  2 Si 1.77
Si1 0.0000 0.0000 0.0000  2 N 1.77
La1 0.5000 0.5000 0.5000  8 S 3.00

Values from the calculation:
energy relative to the lowest polymorph listed for this composition	0	kJ/mol of formula units
raw formation energy	-0.903	eV per atom
space-group type	P4/mmm
spin magnetization	0.0	μB/cell